1.
GdPuCuBi: relaxed, PBE-GGA.

Calculated values
DFT total energy = -37.35 eV for the cell shown

a b c (Å): 5.272 5.272 5.272
angles (deg): 60.00 60.00 60.00
Last column: magnetic moment on the atom in μB.
Sites, in units of the cell vectors:
Gd  0.500  0.500  0.500  7.38
Cu  0.250  0.250  0.250  0.03
Pu  0.000  0.000  0.000  5.62
Bi  0.750  0.750  0.750  -0.09

***

2.
GdCuBiRh: relaxed, PBE-GGA.

Calculated values
DFT total energy = -30.92 eV for the cell shown

a b c (Å): 4.848 4.848 4.848
angles (deg): 60.00 60.00 60.00
Last column: magnetic moment on the atom in μB.
Sites, in units of the cell vectors:
Gd  0.000  0.000  0.000  7.01
Cu  0.250  0.250  0.250  0.01
Bi  0.500  0.500  0.500  -0.01
Rh  0.750  0.750  0.750  0.00

***

3.
CuGeBi: relaxed, PBE-GGA.

Calculated values
ΔE to the lowest computed polymorph = 10 meV/atom

a b c (Å): 4.328 4.180 4.180
angles (deg): 120.00 90.00 90.00
Sites, in units of the cell vectors:
Cu  0.088  0.000  0.000
Bi  0.717  0.333  0.667
Ge  0.195  0.667  0.333

***

4.
Cu4GeBi: relaxed, PBE-GGA.

Calculated values
DFT total energy = -24.00 eV for the cell shown

a b c (Å): 5.135 5.135 5.135
angles (deg): 60.00 60.00 60.00
Sites, in units of the cell vectors:
Cu  0.626  0.123  0.626
Cu  0.626  0.626  0.626
Cu  0.626  0.626  0.123
Cu  0.123  0.626  0.626
Bi  0.250  0.250  0.250
Ge  0.000  0.000  0.000

***

5.
Cu2GeBi2: relaxed, PBE-GGA.

Calculated values
ΔE to the lowest computed polymorph = 146 meV/atom

a b c (Å): 8.259 8.259 3.261
angles (deg): 90.00 90.00 90.00
Sites, in units of the cell vectors:
Cu  0.393  0.107  0.500
Cu  0.893  0.393  0.500
Cu  0.607  0.893  0.500
Cu  0.107  0.607  0.500
Bi  0.316  0.816  0.000
Bi  0.816  0.684  0.000
Bi  0.684  0.184  0.000
Bi  0.184  0.316  0.000
Ge  0.500  0.500  0.000
Ge  0.000  0.000  0.000

***

6.
CuGeBi: relaxed, PBE-GGA.

Calculated values
ΔE to the lowest computed polymorph = 0 meV/atom

a b c (Å): 4.559 4.559 4.559
angles (deg): 60.00 60.00 60.00
Sites, in units of the cell vectors:
Ge  0.500  0.500  0.500
Cu  0.250  0.250  0.250
Bi  0.000  0.000  0.000

***

7.
CuGeBi2: relaxed, PBE-GGA.

Calculated values
DFT total energy = -30.98 eV for the cell shown

a b c (Å): 6.341 6.341 7.597
angles (deg): 65.33 65.33 90.00
Sites, in units of the cell vectors:
Cu  0.500  0.500  0.000
Cu  0.250  0.750  0.500
Bi  0.147  0.625  0.250
Bi  0.375  0.397  0.750
Bi  0.875  0.853  0.750
Bi  0.603  0.125  0.250
Ge  0.750  0.250  0.500
Ge  0.000  0.000  0.000

***

8.
Cu3GeBi: relaxed, PBE-GGA.

Calculated values
ΔE to the lowest computed polymorph = 546 meV/atom

a b c (Å): 4.958 4.958 4.958
angles (deg): 90.00 90.00 90.00
Sites, in units of the cell vectors:
Ge  0.500  0.500  0.500
Cu  0.500  0.000  0.000
Cu  0.000  0.500  0.000
Cu  0.000  0.000  0.500
Bi  0.000  0.000  0.000

***

9.
Cu3GeBi: relaxed, PBE-GGA.

Calculated values
ΔE to the lowest computed polymorph = 0 meV/atom

a b c (Å): 4.598 4.598 4.598
angles (deg): 90.00 90.00 90.00
Sites, in units of the cell vectors:
Cu  0.000  0.000  0.500
Cu  0.000  0.500  0.000
Cu  0.500  0.000  0.000
Bi  0.500  0.500  0.500
Ge  0.000  0.000  0.000

***

10.
Cu2GeBi2: relaxed, PBE-GGA.

Calculated values
ΔE to the lowest computed polymorph = 92 meV/atom

a b c (Å): 5.633 5.633 5.345
angles (deg): 58.20 58.20 90.00
Sites, in units of the cell vectors:
Bi  0.750  0.250  0.500
Bi  0.250  0.750  0.500
Cu  0.667  0.667  0.667
Cu  0.333  0.333  0.333
Ge  0.000  0.000  0.000

***

11.
CuGeBi2: relaxed, PBE-GGA.

Calculated values
DFT total energy = -14.58 eV for the cell shown

a b c (Å): 3.342 3.342 10.929
angles (deg): 81.21 81.21 60.00
Sites, in units of the cell vectors:
Bi  0.083  0.083  0.752
Bi  0.917  0.917  0.248
Cu  0.000  0.000  0.000
Ge  0.500  0.500  0.500

***

12.
CuGe2Bi: relaxed, PBE-GGA.

Calculated values
DFT total energy = -32.39 eV for the cell shown

a b c (Å): 5.091 5.091 8.409
angles (deg): 72.38 72.38 90.00
Sites, in units of the cell vectors:
Bi  0.750  0.250  0.500
Bi  0.000  0.000  0.000
Ge  0.235  0.625  0.250
Ge  0.375  0.485  0.750
Ge  0.515  0.125  0.250
Ge  0.875  0.765  0.750
Cu  0.250  0.750  0.500
Cu  0.500  0.500  0.000